## NbMoO2 (PBE+U)

Data for an optimized crystal structure of NbMoO2.

Properties
As for the energy above the most stable polymorph in this dataset: 0.567 eV per formula unit. As for the crystal system: tetragonal.

```
NbMoO2
1.0
4.014 0.000 0.000
0.000 4.014 0.000
2.007 2.007 6.374
Mo Nb O
2 2 4
Direct
0.000 0.000 0.000
0.750 0.250 0.500
0.500 0.500 0.000
0.250 0.750 0.500
0.627 0.125 0.250
0.123 0.625 0.250
0.375 0.373 0.750
0.875 0.877 0.750
```